Run a
Crystalline Nb2Fe2Hg at its relaxed geometry, computed with GGA-PBE. Values from VASP.

Quantum ESPRESSO input file:
```
&SYSTEM
  ibrav = 0, nat = 10, ntyp = 3
/
ATOMIC_SPECIES
Nb 92.91 Nb.upf
Fe 55.84 Fe.upf
Hg 200.59 Hg.upf
ATOMIC_POSITIONS crystal
Nb 0.660 0.840 0.500
Nb 0.340 0.160 0.500
Nb 0.840 0.340 0.500
Nb 0.160 0.660 0.500
Fe 0.367 0.867 0.000
Fe 0.133 0.367 0.000
Fe 0.633 0.133 0.000
Fe 0.867 0.633 0.000
Hg 0.000 0.000 0.000
Hg 0.500 0.500 0.000
CELL_PARAMETERS angstrom
-4.478 -5.208 -2.200
2.502 0.691 -6.729
2.104 -2.050 0.571
```

Symmetry ... P4/mbm
Total magnetic moment ... 0.0 μB/f.u.



Run b
Crystalline Nb2Fe2Hg at its relaxed geometry, computed with GGA-PBE. Values from VASP.

Quantum ESPRESSO input file:
```
&SYSTEM
  ibrav = 0, nat = 5, ntyp = 3
/
ATOMIC_SPECIES
Fe 55.84 Fe.upf
Nb 92.91 Nb.upf
Hg 200.59 Hg.upf
ATOMIC_POSITIONS crystal
Fe 0.387 0.387 0.226
Fe 0.613 0.613 0.774
Nb 0.750 0.250 0.500
Nb 0.250 0.750 0.500
Hg 0.000 0.000 0.000
CELL_PARAMETERS angstrom
4.186 0.000 0.000
0.000 4.186 0.000
2.093 2.093 4.868
```

Symmetry ... I4/mmm
Total magnetic moment ... 0.0 μB/f.u.



The structure shown above that is least stable: run b.